## P
## KTeBrN2 (PBE-GGA)

Data for KTeBrN2 after structural relaxation.

The structure in CIF format:
```
data_KTeBrN2
_chemical_formula_sum 'K1 Te1 Br1 N2'
_cell_length_a 4.650
_cell_length_b 4.650
_cell_length_c 5.900
_cell_angle_alpha 90.00
_cell_angle_beta 90.00
_cell_angle_gamma 90.00
_space_group_name_H-M_alt 'P 4/m m m'
_space_group_IT_number 123
_space_group_name_Hall '-P 4 2'
loop_
_atom_site_label
_atom_site_type_symbol
_atom_site_fract_x
_atom_site_fract_y
_atom_site_fract_z
K1 K 0.000 0.000 0.000
Te1 Te 0.500 0.500 0.000
Br1 Br 0.500 0.500 0.500
N1 N 0.000 0.500 0.500
```

Computed properties:
- D(E_F): 0.482 states/eV per atom

***

## Q
## KTeBrN2 (PBE-GGA)

Data for KTeBrN2 after structural relaxation.

The structure in CIF format:
```
data_KTeBrN2
_chemical_formula_sum 'K1 Te1 Br1 N2'
_cell_length_a 4.997
_cell_length_b 4.997
_cell_length_c 7.147
_cell_angle_alpha 90.00
_cell_angle_beta 90.00
_cell_angle_gamma 90.00
_space_group_name_H-M_alt 'P 4/m m m'
_space_group_IT_number 123
_space_group_name_Hall '-P 4 2'
loop_
_atom_site_label
_atom_site_type_symbol
_atom_site_fract_x
_atom_site_fract_y
_atom_site_fract_z
K1 K 0.000 0.000 0.000
Te1 Te 0.000 0.000 0.500
Br1 Br 0.500 0.500 0.500
N1 N 0.000 0.500 0.000
```

Computed properties:
- D(E_F): 0.726 states/eV per atom

***

Stability ranking, top entry: P; the second entry is 217 meV per atom less favorable.

***

## P
## K2Na2Br (PBE-GGA)

Data for K2Na2Br after structural relaxation.

The structure in CIF format:
```
data_K2Na2Br
_chemical_formula_sum 'K4 Na4 Br2'
_cell_length_a 8.298
_cell_length_b 8.298
_cell_length_c 6.731
_cell_angle_alpha 90.00
_cell_angle_beta 90.00
_cell_angle_gamma 90.00
_space_group_name_H-M_alt 'P 4/m b m'
_space_group_IT_number 127
_space_group_name_Hall '-P 4 2ab'
loop_
_atom_site_label
_atom_site_type_symbol
_atom_site_fract_x
_atom_site_fract_y
_atom_site_fract_z
K1 K 0.177 0.323 0.000
Na1 Na 0.151 0.651 0.500
Br1 Br 0.000 0.000 0.500
```

Computed properties:
- D(E_F): 0.557 states/eV per atom

***

## Q
## K2Na2Br (PBE-GGA)

Data for K2Na2Br after structural relaxation.

The structure in CIF format:
```
data_K2Na2Br
_chemical_formula_sum 'K4 Na4 Br2'
_cell_length_a 8.674
_cell_length_b 8.674
_cell_length_c 6.989
_cell_angle_alpha 90.00
_cell_angle_beta 90.00
_cell_angle_gamma 90.00
_space_group_name_H-M_alt 'P 4/m b m'
_space_group_IT_number 127
_space_group_name_Hall '-P 4 2ab'
loop_
_atom_site_label
_atom_site_type_symbol
_atom_site_fract_x
_atom_site_fract_y
_atom_site_fract_z
K1 K 0.180 0.320 0.000
Na1 Na 0.142 0.642 0.500
Br1 Br 0.000 0.000 0.000
```

Computed properties:
- D(E_F): 0.562 states/eV per atom

***

Stability ranking, top entry: Q; the second entry is 38 meV per atom less favorable.

***

## P
## KNa2Br (PBE-GGA)

Data for KNa2Br after structural relaxation.

The structure in CIF format:
```
data_KNa2Br
_chemical_formula_sum 'K3 Na6 Br3'
_cell_length_a 4.2261
_cell_length_b 4.2261
_cell_length_c 34.0291
_cell_angle_alpha 90.00
_cell_angle_beta 90.00
_cell_angle_gamma 120.00
_space_group_name_H-M_alt 'R -3 m'
_space_group_IT_number 166
_space_group_name_Hall '-R 3 2"'
loop_
_atom_site_label
_atom_site_type_symbol
_atom_site_fract_x
_atom_site_fract_y
_atom_site_fract_z
K1 K 0.0000 0.0000 0.0000
Na1 Na 0.0000 0.0000 0.1142
Br1 Br 0.0000 0.0000 0.5000
```

Computed properties:
- D(E_F): 0.550 states/eV per atom

***

## Q
## KNa2Br (PBE-GGA)

Data for KNa2Br after structural relaxation.

The structure in CIF format:
```
data_KNa2Br
_chemical_formula_sum 'K3 Na6 Br3'
_cell_length_a 4.2753
_cell_length_b 4.2753
_cell_length_c 32.2908
_cell_angle_alpha 90.00
_cell_angle_beta 90.00
_cell_angle_gamma 120.00
_space_group_name_H-M_alt 'R 3 m'
_space_group_IT_number 160
_space_group_name_Hall 'R 3 -2"'
loop_
_atom_site_label
_atom_site_type_symbol
_atom_site_fract_x
_atom_site_fract_y
_atom_site_fract_z
K1 K 0.0000 0.0000 0.0000
Na1 Na 0.0000 0.0000 0.2220
Na2 Na 0.0000 0.0000 0.4455
Br1 Br 0.0000 0.0000 0.8339
```

Computed properties:
- D(E_F): 0.464 states/eV per atom

***

Stability ranking, top entry: Q; the second entry is 30 meV per atom less favorable.

***

## P
## KNa2Br (PBE-GGA)

Data for KNa2Br after structural relaxation.

The structure in CIF format:
```
data_KNa2Br
_chemical_formula_sum 'K4 Na8 Br4'
_cell_length_a 8.612
_cell_length_b 8.612
_cell_length_c 8.612
_cell_angle_alpha 90.00
_cell_angle_beta 90.00
_cell_angle_gamma 90.00
_space_group_name_H-M_alt 'F m -3 m'
_space_group_IT_number 225
_space_group_name_Hall '-F 4 2 3'
loop_
_atom_site_label
_atom_site_type_symbol
_atom_site_fract_x
_atom_site_fract_y
_atom_site_fract_z
K1 K 0.000 0.000 0.000
Na1 Na 0.250 0.250 0.250
Br1 Br 0.000 0.000 0.500
```

Computed properties:
- D(E_F): 0.413 states/eV per atom

***

## Q
## KNa2Br (PBE-GGA)

Data for KNa2Br after structural relaxation.

The structure in CIF format:
```
data_KNa2Br
_chemical_formula_sum 'K4 Na8 Br4'
_cell_length_a 10.328
_cell_length_b 10.328
_cell_length_c 6.521
_cell_angle_alpha 90.00
_cell_angle_beta 90.00
_cell_angle_gamma 90.00
_space_group_name_H-M_alt 'I -4 2 d'
_space_group_IT_number 122
_space_group_name_Hall 'I -4 2bw'
loop_
_atom_site_label
_atom_site_type_symbol
_atom_site_fract_x
_atom_site_fract_y
_atom_site_fract_z
K1 K 0.000 0.000 0.000
Na1 Na 0.152 0.250 0.625
Br1 Br 0.000 0.000 0.500
```

Computed properties:
- D(E_F): 0.183 states/eV per atom

***

Stability ranking, top entry: Q; the second entry is 241 meV per atom less favorable.

***

## P
## K2NaNdBr6 (PBE-GGA)

Data for K2NaNdBr6 after structural relaxation.

The structure in CIF format:
```
data_K2NaNdBr6
_chemical_formula_sum 'K8 Na4 Nd4 Br24'
_cell_length_a 11.521
_cell_length_b 11.521
_cell_length_c 11.521
_cell_angle_alpha 90.00
_cell_angle_beta 90.00
_cell_angle_gamma 90.00
_space_group_name_H-M_alt 'F m -3 m'
_space_group_IT_number 225
_space_group_name_Hall '-F 4 2 3'
loop_
_atom_site_label
_atom_site_type_symbol
_atom_site_fract_x
_atom_site_fract_y
_atom_site_fract_z
K1 K 0.250 0.250 0.250
Na1 Na 0.000 0.000 0.000
Nd1 Nd 0.000 0.000 0.500
Br1 Br 0.000 0.000 0.251
```

Computed properties:
- D(E_F): 0.000 states/eV per atom

***

## Q
## K2NaNdBr6 (PBE-GGA)

Data for K2NaNdBr6 after structural relaxation.

The structure in CIF format:
```
data_K2NaNdBr6
_chemical_formula_sum 'K4 Na2 Nd2 Br12'
_cell_length_a 7.799
_cell_length_b 8.230
_cell_length_c 13.419
_cell_angle_alpha 90.00
_cell_angle_beta 124.07
_cell_angle_gamma 90.00
_space_group_name_H-M_alt 'P 1 21/c 1'
_space_group_IT_number 14
loop_
_space_group_symop_operation_xyz
'x,y,z'
'-x,-y,-z'
'-x,y+1/2,-z+1/2'
'x,-y+1/2,z+1/2'
loop_
_atom_site_label
_atom_site_type_symbol
_atom_site_fract_x
_atom_site_fract_y
_atom_site_fract_z
K1 K 0.215 0.079 0.244
Na1 Na 0.000 0.000 0.500
Nd1 Nd 0.500 0.000 0.000
Br1 Br 0.144 0.193 0.944
Br2 Br 0.251 0.706 0.938
Br3 Br 0.372 0.037 0.752
```

Computed properties:
- D(E_F): 0.000 states/eV per atom

***

Stability ranking, top entry: Q; the second entry is 57 meV per atom less favorable.

***

## P
## K2RbNaBr (PBE-GGA)

Data for K2RbNaBr after structural relaxation.

The structure in CIF format:
```
data_K2RbNaBr
_chemical_formula_sum 'K2 Rb1 Na1 Br1'
_cell_length_a 6.708
_cell_length_b 6.708
_cell_length_c 6.337
_cell_angle_alpha 90.00
_cell_angle_beta 90.00
_cell_angle_gamma 90.00
_space_group_name_H-M_alt 'P 4/m m m'
_space_group_IT_number 123
_space_group_name_Hall '-P 4 2'
loop_
_atom_site_label
_atom_site_type_symbol
_atom_site_fract_x
_atom_site_fract_y
_atom_site_fract_z
K1 K 0.000 0.500 0.000
Rb1 Rb 0.000 0.000 0.500
Na1 Na 0.500 0.500 0.500
Br1 Br 0.500 0.500 0.000
```

Computed properties:
- D(E_F): 0.506 states/eV per atom

***

## Q
## K2RbNaBr (PBE-GGA)

Data for K2RbNaBr after structural relaxation.

The structure in CIF format:
```
data_K2RbNaBr
_chemical_formula_sum 'K2 Rb1 Na1 Br1'
_cell_length_a 6.532
_cell_length_b 6.532
_cell_length_c 6.850
_cell_angle_alpha 90.00
_cell_angle_beta 90.00
_cell_angle_gamma 90.00
_space_group_name_H-M_alt 'P 4/m m m'
_space_group_IT_number 123
_space_group_name_Hall '-P 4 2'
loop_
_atom_site_label
_atom_site_type_symbol
_atom_site_fract_x
_atom_site_fract_y
_atom_site_fract_z
K1 K 0.000 0.500 0.000
Rb1 Rb 0.000 0.000 0.500
Na1 Na 0.500 0.500 0.500
Br1 Br 0.000 0.000 0.000
```

Computed properties:
- D(E_F): 0.584 states/eV per atom

***

Stability ranking, top entry: Q; the second entry is 74 meV per atom less favorable.